(1)
{
  "formula": "MoI3O",
  "functional": "PBE+U",
  "state": "optimized geometry",
  "lattice": [[5.435, 0.000, 0.000], [0.000, 5.435, 0.000], [0.000, 0.000, 5.435]],
  "species": ["I", "I", "I", "O", "Mo"],
  "frac_coords": [[0.000, 0.500, 0.000], [0.000, 0.000, 0.500], [0.500, 0.000, 0.000], [0.500, 0.500, 0.500], [0.000, 0.000, 0.000]],
  "space_group": "No. 221"
}

---

(2)
{
  "formula": "MoI3O",
  "functional": "PBE+U",
  "state": "optimized geometry",
  "lattice": [[-1.688, -1.707, 4.579], [3.716, -3.594, 0.030], [3.173, 3.301, 2.401]],
  "species": ["O", "I", "I", "I", "Mo"],
  "frac_coords": [[0.000, 0.000, 0.000], [0.500, 0.000, 0.000], [0.000, 0.000, 0.500], [0.000, 0.500, 0.000], [0.500, 0.500, 0.500]],
  "space_group": "No. 221"
}

---

Order from most stable to least stable according to the calculation: (2), (1)